Record 1
First-principles (PBE) data for a relaxed LiPuP2 crystal, as listed in Alexandria.

POSCAR file:
```
LiPuP2
1.0
2.015 1.164 5.548
-2.015 1.164 5.548
0.000 -2.327 5.548
Li Pu P
1 1 2
Direct
0.000 0.000 0.000
0.182 0.182 0.182
0.611 0.611 0.611
0.748 0.748 0.748
```

energy relative to the elements: -669.8 meV per atom
excess energy over the best structure of this formula in the dataset: 0.0 meV/atom

Record 2
First-principles (PBE) data for a relaxed LiPuP crystal, as listed in Alexandria.

POSCAR file:
```
LiPuP
1.0
-1.968 1.968 7.457
1.968 -1.968 7.457
1.968 1.968 -7.457
Li Pu P
2 2 2
Direct
0.000 0.500 0.500
0.500 0.000 0.500
0.175 0.175 0.000
0.825 0.825 0.000
0.373 0.373 0.000
0.627 0.627 0.000
```

energy relative to the elements: -773.9 meV per atom

Record 3
First-principles (PBE) data for a relaxed LiPu2P2 crystal, as listed in Alexandria.

POSCAR file:
```
LiPu2P2
1.0
-2.977 5.871 2.899
2.977 -5.871 2.899
2.977 5.871 -2.899
Li Pu P
2 4 4
Direct
0.250 0.250 0.000
0.750 0.750 0.000
0.140 0.709 0.849
0.360 0.209 0.569
0.640 0.791 0.431
0.860 0.291 0.151
0.117 0.232 0.349
0.383 0.732 0.115
0.617 0.268 0.885
0.883 0.768 0.651
```

energy relative to the elements: -868.4 meV per atom

Record 4
First-principles (PBE) data for a relaxed LiPuP crystal, as listed in Alexandria.

POSCAR file:
```
LiPuP
1.0
3.944 0.000 0.000
0.000 3.944 0.000
0.000 0.000 7.174
Li Pu P
2 2 2
Direct
0.250 0.750 0.000
0.750 0.250 0.000
0.250 0.250 0.358
0.750 0.750 0.642
0.250 0.250 0.769
0.750 0.750 0.231
```

energy relative to the elements: -805.6 meV per atom